Below is a relaxed structure of BaCr2Cu2O6, with properties calculated at the PBE with a Hubbard U level.

Unit cell a=5.4164 b=8.7197 c=6.7662 alpha=131.40 beta=118.85 gamma=53.23
With the nearest neighbours (Å) after each atom.
Sites, in units of the cell vectors:
Cu  0.7712  0.4574  0.4833  2 O 1.82-1.84
Cu  0.2288  0.5426  0.5167  2 O 1.82-1.84
Cr  0.1815  0.5987  0.0461  3 O 1.71-1.89
Cr  0.8185  0.4013  0.9539  3 O 1.71-1.89
O  0.4142  0.4959  0.7897  1 Cu 1.82, 2 Cr 1.85-2.03
O  0.0051  0.5999  0.2481  1 Cu 1.84, 2 Cr 1.89-2.00
O  0.9949  0.4001  0.7519  1 Cu 1.84, 2 Cr 1.89-2.00
O  0.5858  0.5041  0.2103  1 Cu 1.82, 2 Cr 1.85-2.03
O  0.0082  0.8847  0.1827  1 Cr 1.71
O  0.9918  0.1153  0.8173  1 Cr 1.71
Ba  0.5000  0.0000  0.5000  4 O 2.75-2.79

V in Å³/atom: 17.27
Spin magnetization in μB/cell: 3.99
Space group: P-1, No. 2
DFT total energy in eV per atom: -6.419